Entry 1:
# BeB3Pt (PBE, relaxed)
# V = 70.6 Å³ per cell
# formation energy = 1.528 eV per atom
# E above lowest polymorph = 102 meV per atom
data_BeB3Pt
_chemical_formula_sum 'Be1 B3 Pt1'
_cell_length_a 4.132
_cell_length_b 4.132
_cell_length_c 4.132
_cell_angle_alpha 90.00
_cell_angle_beta 90.00
_cell_angle_gamma 90.00
_symmetry_space_group_name_H-M 'P 1'
_symmetry_Int_Tables_number 1
_symmetry_space_group_name_Hall 'P 1'
loop_
_atom_site_label
_atom_site_type_symbol
_atom_site_fract_x
_atom_site_fract_y
_atom_site_fract_z
Be1 Be 0.000 0.000 0.000
B1 B 0.000 0.500 0.500
B2 B 0.500 0.000 0.500
B3 B 0.500 0.500 0.000
Pt1 Pt 0.500 0.500 0.500

***

Entry 2:
# TbURh (PBE, relaxed)
# V = 134.4 Å³ per cell
# formation energy = -0.327 eV per atom
data_TbURh
_chemical_formula_sum 'Tb2 U2 Rh2'
_cell_length_a 7.866
_cell_length_b 7.866
_cell_length_c 4.957
_cell_angle_alpha 95.85
_cell_angle_beta 95.85
_cell_angle_gamma 26.14
_symmetry_space_group_name_H-M 'P 1'
_symmetry_Int_Tables_number 1
_symmetry_space_group_name_Hall 'P 1'
loop_
_atom_site_label
_atom_site_type_symbol
_atom_site_fract_x
_atom_site_fract_y
_atom_site_fract_z
Tb1 Tb 0.069 0.069 0.268
Tb2 Tb 0.931 0.931 0.732
U1 U 0.248 0.248 0.684
U2 U 0.752 0.752 0.316
Rh1 Rh 0.373 0.373 0.173
Rh2 Rh 0.627 0.627 0.827

***

Entry 3:
# SrTa3 (PBE, relaxed)
# V = 362.7 Å³ per cell
# formation energy = 0.985 eV per atom
data_SrTa3
_chemical_formula_sum 'Sr4 Ta12'
_cell_length_a 6.494
_cell_length_b 6.494
_cell_length_c 9.932
_cell_angle_alpha 90.00
_cell_angle_beta 90.00
_cell_angle_gamma 120.00
_symmetry_space_group_name_H-M 'P 1'
_symmetry_Int_Tables_number 1
_symmetry_space_group_name_Hall 'P 1'
loop_
_atom_site_label
_atom_site_type_symbol
_atom_site_fract_x
_atom_site_fract_y
_atom_site_fract_z
Sr1 Sr 0.000 0.000 0.000
Sr2 Sr 0.000 0.000 0.500
Sr3 Sr 0.333 0.667 0.250
Sr4 Sr 0.667 0.333 0.750
Ta1 Ta 0.000 0.500 0.000
Ta2 Ta 0.000 0.500 0.500
Ta3 Ta 0.195 0.390 0.750
Ta4 Ta 0.195 0.805 0.750
Ta5 Ta 0.390 0.195 0.250
Ta6 Ta 0.500 0.000 0.000
Ta7 Ta 0.500 0.000 0.500
Ta8 Ta 0.500 0.500 0.000
Ta9 Ta 0.500 0.500 0.500
Ta10 Ta 0.610 0.805 0.750
Ta11 Ta 0.805 0.195 0.250
Ta12 Ta 0.805 0.610 0.250

***

- Which value of formation energy does entry 2 give?
  -0.327 eV per atom